# 1
VASP calculation (GGA-PBE) on crystalline YCuIrSe2 at its relaxed geometry.

Lattice parameters (Å, degrees): 4.609 4.609 5.079 90.00 90.00 90.00
Fractional coordinates of all 5 atoms:
Y: 0.000 0.000 0.000
Cu: 0.000 0.000 0.500
Ir: 0.500 0.500 0.000
Se: 0.000 0.500 0.500
Se: 0.500 0.000 0.500

Values from the calculation:
- E_form (uncorrected): 2.5 eV per formula unit
- SG: P4/mmm, No. 123

***

# 2
VASP calculation (GGA-PBE) on crystalline CuSi2Ir at its relaxed geometry.

Lattice parameters (Å, degrees): 6.020 6.020 6.020 90.00 90.00 90.00
Fractional coordinates of all 16 atoms:
Cu: 0.000 0.000 0.000
Cu: 0.000 0.500 0.500
Cu: 0.500 0.000 0.500
Cu: 0.500 0.500 0.000
Si: 0.000 0.000 0.500
Si: 0.000 0.500 0.000
Si: 0.250 0.250 0.250
Si: 0.250 0.750 0.750
Si: 0.500 0.000 0.000
Si: 0.500 0.500 0.500
Si: 0.750 0.250 0.750
Si: 0.750 0.750 0.250
Ir: 0.250 0.250 0.750
Ir: 0.250 0.750 0.250
Ir: 0.750 0.250 0.250
Ir: 0.750 0.750 0.750

Values from the calculation:
- E_form (uncorrected): 0.8 eV per formula unit
- SG: F-43m, No. 216

***

# 3
VASP calculation (GGA-PBE) on crystalline CuSi2Ir at its relaxed geometry.

Lattice parameters (Å, degrees): 7.946 2.907 4.661 90.00 98.60 90.00
Fractional coordinates of all 8 atoms:
Cu: 0.000 0.000 0.000
Cu: 0.500 0.500 0.000
Si: 0.243 0.000 0.749
Si: 0.257 0.500 0.251
Si: 0.743 0.500 0.749
Si: 0.757 0.000 0.251
Ir: 0.000 0.500 0.500
Ir: 0.500 0.000 0.500

Values from the calculation:
- E_form (uncorrected): -0.8 eV per formula unit
- SG: C2/m, No. 12

***

# 4
VASP calculation (GGA-PBE) on crystalline CuSi2Ir at its relaxed geometry.

Lattice parameters (Å, degrees): 5.292 6.317 6.340 90.00 90.00 90.00
Fractional coordinates of all 16 atoms:
Cu: 0.000 0.000 0.000
Cu: 0.000 0.500 0.500
Cu: 0.500 0.000 0.500
Cu: 0.500 0.500 0.000
Si: 0.250 0.250 0.250
Si: 0.250 0.250 0.750
Si: 0.250 0.750 0.250
Si: 0.250 0.750 0.750
Si: 0.750 0.250 0.250
Si: 0.750 0.250 0.750
Si: 0.750 0.750 0.250
Si: 0.750 0.750 0.750
Ir: 0.000 0.000 0.500
Ir: 0.000 0.500 0.000
Ir: 0.500 0.000 0.000
Ir: 0.500 0.500 0.500

Values from the calculation:
- E_form (uncorrected): -0.5 eV per formula unit
- SG: Fmmm, No. 69

***

# 5
VASP calculation (GGA-PBE) on crystalline CuSiIr2 at its relaxed geometry.

Lattice parameters (Å, degrees): 2.964 2.964 6.062 90.00 90.00 90.00
Fractional coordinates of all 4 atoms:
Cu: 0.000 0.000 0.000
Si: 0.500 0.500 0.791
Ir: 0.000 0.000 0.564
Ir: 0.500 0.500 0.242

Values from the calculation:
- E_form (uncorrected): -0.1 eV per formula unit
- SG: P4mm, No. 99

***

# 6
VASP calculation (GGA-PBE) on crystalline CuSiIr2 at its relaxed geometry.

Lattice parameters (Å, degrees): 8.454 2.804 4.794 90.00 105.50 90.00
Fractional coordinates of all 8 atoms:
Cu: 0.000 0.000 0.000
Cu: 0.500 0.500 0.000
Si: 0.000 0.500 0.500
Si: 0.500 0.000 0.500
Ir: 0.230 0.000 0.741
Ir: 0.270 0.500 0.259
Ir: 0.730 0.500 0.741
Ir: 0.770 0.000 0.259

Values from the calculation:
- E_form (uncorrected): -0.8 eV per formula unit
- SG: C2/m, No. 12

***

# 7
VASP calculation (GGA-PBE) on crystalline CuSi2Ir at its relaxed geometry.

Lattice parameters (Å, degrees): 2.834 2.834 23.210 90.00 90.00 120.00
Fractional coordinates of all 12 atoms:
Cu: 0.000 0.000 0.000
Cu: 0.333 0.667 0.667
Cu: 0.667 0.333 0.333
Si: 0.000 0.000 0.250
Si: 0.000 0.000 0.750
Si: 0.333 0.667 0.416
Si: 0.333 0.667 0.917
Si: 0.667 0.333 0.083
Si: 0.667 0.333 0.584
Ir: 0.000 0.000 0.500
Ir: 0.333 0.667 0.167
Ir: 0.667 0.333 0.833

Values from the calculation:
- E_form (uncorrected): -0.7 eV per formula unit
- SG: R-3m, No. 166

***

# 8
VASP calculation (GGA-PBE) on crystalline CuSiIr2 at its relaxed geometry.

Lattice parameters (Å, degrees): 2.709 4.270 10.553 90.00 90.00 90.00
Fractional coordinates of all 8 atoms:
Cu: 0.000 0.000 0.000
Cu: 0.500 0.500 0.500
Si: 0.000 0.000 0.500
Si: 0.500 0.500 0.000
Ir: 0.000 0.000 0.283
Ir: 0.000 0.000 0.717
Ir: 0.500 0.500 0.217
Ir: 0.500 0.500 0.783

Values from the calculation:
- E_form (uncorrected): 0.7 eV per formula unit
- SG: Immm, No. 71

***

# 9
VASP calculation (GGA-PBE) on crystalline CuSi2Ir at its relaxed geometry.

Lattice parameters (Å, degrees): 3.698 3.698 7.666 90.00 90.00 90.00
Fractional coordinates of all 8 atoms:
Cu: 0.000 0.000 0.000
Cu: 0.500 0.500 0.500
Si: 0.000 0.000 0.500
Si: 0.000 0.500 0.250
Si: 0.500 0.000 0.750
Si: 0.500 0.500 0.000
Ir: 0.000 0.500 0.750
Ir: 0.500 0.000 0.250

Values from the calculation:
- E_form (uncorrected): -0.2 eV per formula unit
- SG: I-4m2, No. 119

***

# 10
VASP calculation (GGA-PBE) on crystalline CuSi2Ir at its relaxed geometry.

Lattice parameters (Å, degrees): 5.555 5.555 9.984 90.00 90.00 90.00
Fractional coordinates of all 16 atoms:
Cu: 0.000 0.000 0.000
Cu: 0.000 0.500 0.250
Cu: 0.500 0.000 0.750
Cu: 0.500 0.500 0.500
Si: 0.243 0.250 0.625
Si: 0.250 0.743 0.875
Si: 0.250 0.757 0.375
Si: 0.257 0.250 0.125
Si: 0.743 0.750 0.125
Si: 0.750 0.243 0.375
Si: 0.750 0.257 0.875
Si: 0.757 0.750 0.625
Ir: 0.000 0.000 0.500
Ir: 0.000 0.500 0.750
Ir: 0.500 0.000 0.250
Ir: 0.500 0.500 0.000

Values from the calculation:
- E_form (uncorrected): 0.8 eV per formula unit
- SG: I-42d, No. 122

***

# 11
VASP calculation (GGA-PBE) on crystalline CuSiIr2 at its relaxed geometry.

Lattice parameters (Å, degrees): 2.838 2.838 23.775 90.00 90.00 120.00
Fractional coordinates of all 12 atoms:
Cu: 0.000 0.000 0.000
Cu: 0.333 0.667 0.667
Cu: 0.667 0.333 0.333
Si: 0.000 0.000 0.500
Si: 0.333 0.667 0.167
Si: 0.667 0.333 0.833
Ir: 0.000 0.000 0.243
Ir: 0.000 0.000 0.757
Ir: 0.333 0.667 0.424
Ir: 0.333 0.667 0.909
Ir: 0.667 0.333 0.091
Ir: 0.667 0.333 0.576

Values from the calculation:
- E_form (uncorrected): -0.9 eV per formula unit
- SG: R-3m, No. 166

***

# 12
VASP calculation (GGA-PBE) on crystalline CuSiIr2 at its relaxed geometry.

Lattice parameters (Å, degrees): 2.731 4.781 8.604 90.00 90.00 90.00
Fractional coordinates of all 8 atoms:
Cu: 0.000 0.000 0.000
Cu: 0.500 0.500 0.000
Si: 0.000 0.500 0.231
Si: 0.500 0.000 0.231
Ir: 0.000 0.000 0.461
Ir: 0.000 0.500 0.740
Ir: 0.500 0.000 0.740
Ir: 0.500 0.500 0.461

Values from the calculation:
- E_form (uncorrected): 0.6 eV per formula unit
- SG: Cmm2, No. 35

***

# 13
VASP calculation (GGA-PBE) on crystalline CuSiIr at its relaxed geometry.

Lattice parameters (Å, degrees): 2.997 2.997 8.702 90.00 90.00 90.00
Fractional coordinates of all 6 atoms:
Cu: 0.000 0.000 0.000
Cu: 0.500 0.500 0.500
Si: 0.000 0.000 0.653
Si: 0.500 0.500 0.153
Ir: 0.000 0.000 0.304
Ir: 0.500 0.500 0.804

Values from the calculation:
- E_form (uncorrected): -0.7 eV per formula unit
- SG: I4mm, No. 107

***

# 14
VASP calculation (GGA-PBE) on crystalline CuSi2Ir at its relaxed geometry.

Lattice parameters (Å, degrees): 2.744 5.005 8.217 90.00 90.00 90.00
Fractional coordinates of all 8 atoms:
Cu: 0.000 0.000 0.000
Cu: 0.500 0.500 0.000
Si: 0.000 0.500 0.250
Si: 0.000 0.500 0.750
Si: 0.500 0.000 0.250
Si: 0.500 0.000 0.750
Ir: 0.000 0.000 0.500
Ir: 0.500 0.500 0.500

Values from the calculation:
- E_form (uncorrected): 0.4 eV per formula unit
- SG: Cmmm, No. 65

***

# 15
VASP calculation (GGA-PBE) on crystalline CuSiIr2 at its relaxed geometry.

Lattice parameters (Å, degrees): 2.836 3.790 5.255 90.00 103.57 90.00
Fractional coordinates of all 4 atoms:
Cu: 0.000 0.000 0.000
Si: 0.000 0.000 0.500
Ir: 0.370 0.500 0.738
Ir: 0.630 0.500 0.262

Values from the calculation:
- E_form (uncorrected): -0.9 eV per formula unit
- SG: P2/m, No. 10

***

# 16
VASP calculation (GGA-PBE) on crystalline CuSi2Ir at its relaxed geometry.

Lattice parameters (Å, degrees): 2.854 3.477 5.304 90.00 90.00 90.00
Fractional coordinates of all 4 atoms:
Cu: 0.000 0.000 0.000
Si: 0.500 0.500 0.240
Si: 0.500 0.500 0.760
Ir: 0.000 0.000 0.500

Values from the calculation:
- E_form (uncorrected): -0.3 eV per formula unit
- SG: Pmmm, No. 47

***

# 17
VASP calculation (GGA-PBE) on crystalline CuSiIr2 at its relaxed geometry.

Lattice parameters (Å, degrees): 2.771 3.708 5.258 90.00 90.00 90.00
Fractional coordinates of all 4 atoms:
Cu: 0.000 0.000 0.000
Si: 0.500 0.500 0.730
Ir: 0.000 0.000 0.514
Ir: 0.500 0.500 0.201

Values from the calculation:
- E_form (uncorrected): -0.4 eV per formula unit
- SG: Pmm2, No. 25

***

# 18
VASP calculation (GGA-PBE) on crystalline CuSi2Ir at its relaxed geometry.

Lattice parameters (Å, degrees): 2.920 4.738 8.129 90.00 90.00 90.00
Fractional coordinates of all 8 atoms:
Cu: 0.000 0.000 0.000
Cu: 0.500 0.500 0.000
Si: 0.000 0.000 0.504
Si: 0.000 0.500 0.764
Si: 0.500 0.000 0.764
Si: 0.500 0.500 0.504
Ir: 0.000 0.500 0.274
Ir: 0.500 0.000 0.274

Values from the calculation:
- E_form (uncorrected): 0.8 eV per formula unit
- SG: Cmm2, No. 35

***

# 19
VASP calculation (GGA-PBE) on crystalline CuSiIr at its relaxed geometry.

Lattice parameters (Å, degrees): 5.573 5.573 5.573 90.00 90.00 90.00
Fractional coordinates of all 12 atoms:
Cu: 0.000 0.000 0.000
Cu: 0.000 0.500 0.500
Cu: 0.500 0.000 0.500
Cu: 0.500 0.500 0.000
Si: 0.250 0.250 0.250
Si: 0.250 0.750 0.750
Si: 0.750 0.250 0.750
Si: 0.750 0.750 0.250
Ir: 0.000 0.000 0.500
Ir: 0.000 0.500 0.000
Ir: 0.500 0.000 0.000
Ir: 0.500 0.500 0.500

Values from the calculation:
- E_form (uncorrected): -1.0 eV per formula unit
- SG: F-43m, No. 216

***

# 20
VASP calculation (GGA-PBE) on crystalline CuSiIr at its relaxed geometry.

Lattice parameters (Å, degrees): 4.038 4.038 2.918 90.00 90.00 120.00
Fractional coordinates of all 3 atoms:
Cu: 0.000 0.000 0.000
Si: 0.333 0.667 0.576
Ir: 0.667 0.333 0.498

Values from the calculation:
- E_form (uncorrected): -0.8 eV per formula unit
- SG: P3m1, No. 156